1.
## PmB2O4 (PBE)

Data for crystalline PmB2O4 at its relaxed geometry.

abc: 5.640 3.581 3.581
angles: 90.00 90.00 90.00
Each line ends with the local moment (μB).
Sites, in units of the cell vectors:
O 0.352 0.251 0.251  0.01
O 0.648 0.749 0.251  0.01
O 0.648 0.251 0.749  0.01
O 0.352 0.749 0.749  0.01
B 0.500 0.000 0.500  0.01
B 0.500 0.500 0.000  0.01
Pm 0.000 0.000 0.000  0.42

Results
The space group is No. 111. As for the offset from the most stable computed form: 1.33 eV/f.u. The value obtained for the raw formation energy is -2.261 eV per atom. The calculation puts the density at 5.3 g/cm³.



2.
## LiEr2ThIn4 (PBE)

Data for crystalline LiEr2ThIn4 at its relaxed geometry.

abc: 5.213 5.213 9.340
angles: 73.80 73.80 60.00
Sites, in units of the cell vectors:
Er 0.248 0.248 0.257
Er 0.752 0.752 0.743
In 0.619 0.619 0.143
In 0.381 0.381 0.857
In 0.130 0.130 0.611
In 0.870 0.870 0.389
Th 0.000 0.000 0.000
Li 0.500 0.500 0.500

Results
The space group is No. 166. The formation enthalpy at 0 K comes out at -0.35 eV/atom. The calculation puts the density at 8.2 g/cm³.



3.
## NaPRhO2 (PBE)

Data for crystalline NaPRhO2 at its relaxed geometry.

abc: 3.923 3.923 4.953
angles: 90.00 90.00 90.00
Each line ends with the local moment (μB).
Sites, in units of the cell vectors:
O 0.000 0.500 0.000  0.41
O 0.500 0.000 0.000  0.41
Na 0.500 0.500 0.500  0.00
Rh 0.000 0.000 0.000  0.83
P 0.000 0.000 0.500  0.10

Results
The space group is No. 123. As for the offset from the most stable computed form: 0.00 eV/f.u. The value obtained for the raw formation energy is -0.149 eV per atom. The calculation puts the density at 4.1 g/cm³.



4.
## BaPbSCl2 (PBE)

Data for crystalline BaPbSCl2 at its relaxed geometry.

abc: 5.715 5.715 6.179
angles: 90.00 90.00 90.00
Sites, in units of the cell vectors:
Cl 0.000 0.500 0.000
Cl 0.500 0.000 0.000
S 0.000 0.000 0.500
Ba 0.000 0.000 0.000
Pb 0.500 0.500 0.500

Results
The space group is No. 123. As for the offset from the most stable computed form: 1.87 eV/f.u. The value obtained for the raw formation energy is -0.912 eV per atom. The calculation puts the density at 3.7 g/cm³.



5.
## TlCr2W (PBE)

Data for crystalline TlCr2W at its relaxed geometry.

abc: 3.160 3.160 6.363
angles: 90.00 90.00 90.00
Sites, in units of the cell vectors:
Cr 0.500 0.500 0.190
Cr 0.000 0.000 0.016
W 0.500 0.500 0.811
Tl 0.000 0.000 0.484

Results
The space group is No. 99. As for the offset from the most stable computed form: 0.62 eV/f.u. The formation enthalpy at 0 K comes out at 0.62 eV/atom. The calculation puts the density at 12.9 g/cm³.



6.
## Er3ScCd2 (PBE)

Data for crystalline Er3ScCd2 at its relaxed geometry.

abc: 3.562 3.562 12.468
angles: 90.00 90.00 90.00
Sites, in units of the cell vectors:
Er 0.000 0.000 0.324
Er 0.000 0.000 0.676
Er 0.000 0.000 0.000
Cd 0.500 0.500 0.161
Cd 0.500 0.500 0.839
Sc 0.500 0.500 0.500

Results
The space group is No. 123. The formation enthalpy at 0 K comes out at -0.18 eV/atom. The calculation puts the density at 8.1 g/cm³.



7.
## CsTiI2O (PBE)

Data for crystalline CsTiI2O at its relaxed geometry.

abc: 6.240 6.240 3.867
angles: 90.00 90.00 90.00
Each line ends with the local moment (μB).
Sites, in units of the cell vectors:
I 0.000 0.500 0.000  -0.01
I 0.500 0.000 0.000  -0.01
Ti 0.000 0.000 0.000  0.91
O 0.000 0.000 0.500  -0.06
Cs 0.500 0.500 0.500  0.00

Results
The space group is No. 123. As for the offset from the most stable computed form: 0.00 eV/f.u. The value obtained for the raw formation energy is -1.454 eV per atom. The calculation puts the density at 5.0 g/cm³.



8.
## SiPt3 (PBE)

Data for crystalline SiPt3 at its relaxed geometry.

abc: 3.683 3.404 5.365
angles: 69.37 90.00 90.00
Sites, in units of the cell vectors:
Si 0.500 0.250 0.250
Pt 0.000 0.102 0.022
Pt 0.500 0.750 0.750
Pt 0.000 0.398 0.478

Results
The space group is No. 10. The value obtained for the raw formation energy is -0.354 eV per atom. The calculation puts the density at 16.2 g/cm³.



9.
## AlP2S8 (PBE)

Data for crystalline AlP2S8 at its relaxed geometry.

abc: 5.449 7.406 7.406
angles: 78.89 80.75 80.75
Sites, in units of the cell vectors:
S 0.311 0.247 0.902
S 0.197 0.344 0.344
S 0.803 0.656 0.656
S 0.689 0.098 0.753
S 0.689 0.753 0.098
S 0.770 0.190 0.190
S 0.230 0.810 0.810
S 0.311 0.902 0.247
P 0.396 0.182 0.182
P 0.604 0.818 0.818
Al 0.000 0.000 0.000

Results
The space group is No. 12. The value obtained for the raw formation energy is -0.156 eV per atom. The calculation puts the density at 2.0 g/cm³.



10.
## Zr6Os5 (PBE)

Data for crystalline Zr6Os5 at its relaxed geometry.

abc: 4.636 6.480 8.012
angles: 113.85 106.85 90.00
Sites, in units of the cell vectors:
Os 0.665 0.665 0.331
Os 0.000 0.500 0.000
Os 0.330 0.830 0.661
Os 0.670 0.170 0.339
Os 0.335 0.335 0.669
Zr 0.164 0.409 0.328
Zr 0.164 0.919 0.328
Zr 0.836 0.591 0.672
Zr 0.836 0.081 0.672
Zr 0.500 0.757 0.000
Zr 0.500 0.243 0.000

Results
The space group is No. 71. The formation enthalpy at 0 K comes out at -0.45 eV/atom. The calculation puts the density at 11.9 g/cm³.



11.
## CaPm3Nd2 (PBE)

Data for crystalline CaPm3Nd2 at its relaxed geometry.

abc: 6.937 6.937 10.573
angles: 90.02 90.00 120.00
Sites, in units of the cell vectors:
Pm 0.825 0.175 0.738
Pm 0.650 0.825 0.262
Pm 0.175 0.350 0.262
Pm 0.350 0.175 0.738
Pm 0.825 0.650 0.738
Pm 0.175 0.825 0.262
Ca 0.333 0.667 0.937
Ca 0.667 0.333 0.063
Nd 0.333 0.667 0.576
Nd 0.000 0.000 0.000
Nd 0.000 0.000 0.500
Nd 0.667 0.333 0.424

Results
The space group is No. 164. The formation enthalpy at 0 K comes out at 0.19 eV/atom. The calculation puts the density at 5.8 g/cm³.



12.
## NaSr2BiSe (PBE)

Data for crystalline NaSr2BiSe at its relaxed geometry.

abc: 5.896 5.896 5.269
angles: 90.00 90.00 90.00
Sites, in units of the cell vectors:
Bi 0.500 0.500 0.500
Se 0.000 0.000 0.000
Sr 0.000 0.500 0.000
Sr 0.500 0.000 0.000
Na 0.000 0.000 0.500

Results
The space group is No. 123. The value obtained for the raw formation energy is -1.052 eV per atom. The calculation puts the density at 4.4 g/cm³.